DFT (PBE) results for crystalline La4Tl3 at its relaxed geometry.

abc: 8.9377 8.9377 8.9377
angles: 113.58 113.58 113.58
With the nearest neighbours (Å) after each atom.
Fractional coordinates of all 14 atoms:
La  0.0000  0.0000  0.0000  8 La 3.46-3.76, 6 Tl 3.64
La  0.0574  0.7361  0.6029  1 La 3.33, 7 Tl 3.35-3.65
La  0.2639  0.3971  0.9426  1 La 3.33, 7 Tl 3.35-3.65
La  0.3971  0.9426  0.2639  1 La 3.33, 7 Tl 3.35-3.65
La  0.5000  0.5000  0.5000  6 Tl 3.43, 2 La 3.46
La  0.6029  0.0574  0.7361  1 La 3.33, 7 Tl 3.35-3.65
La  0.7361  0.6029  0.0574  1 La 3.33, 7 Tl 3.35-3.65
La  0.9426  0.2639  0.3971  1 La 3.33, 7 Tl 3.35-3.65
Tl  0.1096  0.5094  0.2261  9 La 3.35-3.65, 1 Tl 3.61
Tl  0.2261  0.1096  0.5094  9 La 3.35-3.65, 1 Tl 3.61
Tl  0.4906  0.7739  0.8904  9 La 3.35-3.65, 1 Tl 3.61
Tl  0.5094  0.2261  0.1096  9 La 3.35-3.65, 1 Tl 3.61
Tl  0.7739  0.8904  0.4906  9 La 3.35-3.65, 1 Tl 3.61
Tl  0.8904  0.4906  0.7739  9 La 3.35-3.65, 1 Tl 3.61

Output
Space-group type   R-3
Excess energy over the best structure of this formula in the dataset   0 meV/atom



DFT (PBE) results for crystalline La5Tl6 at its relaxed geometry.

abc: 9.7811 9.7811 9.7811
angles: 147.17 132.14 59.25
With the nearest neighbours (Å) after each atom.
Fractional coordinates of all 11 atoms:
La  0.0000  0.0000  0.0000  8 Tl 3.29-3.42
La  0.1786  0.6786  0.5000  8 Tl 3.33-3.52
La  0.3589  0.3589  0.0000  6 Tl 3.25-3.45
La  0.6411  0.6411  0.0000  6 Tl 3.25-3.45
La  0.8214  0.3214  0.5000  8 Tl 3.33-3.52
Tl  0.0784  0.8342  0.2442  6 La 3.33-3.45
Tl  0.2240  0.5000  0.7240  6 La 3.25-3.52, 1 Tl 3.55
Tl  0.4099  0.1658  0.2442  6 La 3.33-3.45
Tl  0.5901  0.8342  0.7558  6 La 3.33-3.45
Tl  0.7760  0.5000  0.2760  6 La 3.25-3.52, 1 Tl 3.55
Tl  0.9216  0.1658  0.7558  6 La 3.33-3.45

Output
Space-group type   Immm



DFT (PBE) results for crystalline La2Tl at its relaxed geometry.

abc: 3.8388 3.8388 8.1494
angles: 90.00 90.00 120.00
With the nearest neighbours (Å) after each atom.
Fractional coordinates of all 3 atoms:
La  0.3333  0.6667  0.3203  3 Tl 3.42, 3 La 3.67
La  0.6667  0.3333  0.6797  3 Tl 3.42, 3 La 3.67
Tl  0.0000  0.0000  0.0000  6 La 3.42

Output
Space-group type   P-3m1



Formation energy from the elements, respectively: -356; -328; -146 meV per atom.